Below is a relaxed Li2Ti3MnO8 crystal, with properties calculated at the GGA+U level.

Summary:
As for the symmetry: R-3m. As for the total energy: -7.979 eV/atom. For the energy relative to the lowest polymorph listed for this composition, the calculation gives 1.05 kcal/mol of atoms. For the total magnetic moment, the calculation gives 0.3571 μB per atom.

```
14
Lattice="5.9766 0.0000 0.0000 2.9883 5.1759 0.0000 2.9883 1.7253 5.0997" Properties=species:S:1:pos:R:3 pbc="T T T"
O 5.9766 5.0338 4.0368
O 4.6055 2.6590 4.0368
O 5.9766 1.8674 1.0629
O 4.6055 4.2422 1.0629
O 7.3477 4.2422 1.0629
O 7.3477 2.6590 4.0368
O 8.9649 5.1759 4.0253
O 2.9883 1.7253 1.0744
Li 8.9649 5.1759 1.7830
Li 2.9883 1.7253 3.3167
Ti 2.9883 0.0000 0.0000
Ti 4.4825 2.5880 0.0000
Ti 1.4942 2.5880 0.0000
Mn 5.9766 3.4506 2.5498
```